This record from the Alexandria database describes a relaxed structure of Zr3GeS. The functional is PBE-GGA.

a = 4.790 Å, b = 4.790 Å, c = 4.790 Å
α = 90.00°, β = 90.00°, γ = 90.00°
Positions (direct):
Zr  0.000  0.000  0.500
Zr  0.000  0.500  0.000
Zr  0.500  0.000  0.000
Ge  0.500  0.500  0.500
S  0.000  0.000  0.000

Computed properties:
Energy above the most stable polymorph in this dataset: 0.0 meV/atom
Formation energy without anion corrections: -0.374 eV per atom
Final energy: -7.251 eV/atom